i:
Crystalline Fe2HgTe at its relaxed geometry, computed with PBEsol.

Cell: 3.8715 3.8715 5.2337 Å, 111.71 111.71 90.00°
Closest atoms and distances in Å follow each position.
Element x y z (fractional)
Hg: 0.5000 0.5000 0.0000  8 Fe 2.74-2.95, 4 Te 2.95
Fe: 0.0000 0.0000 0.0000  4 Hg 2.74, 4 Fe 2.95, 4 Te 2.95
Fe: 0.7500 0.2500 0.5000  4 Te 2.74, 4 Hg 2.95, 4 Fe 2.95
Te: 0.2500 0.7500 0.5000  8 Fe 2.74-2.95, 4 Hg 2.95

Computed properties:
**Symmetry**: No. 119
**Density of states at the Fermi level**: 1.0772 states/eV per atom
**Density**: 10.93 g/cm³

---

ii:
Crystalline Fe2HgTe at its relaxed geometry, computed with PBEsol.

Cell: 4.6308 4.6308 4.6308 Å, 60.00 60.00 60.00°
Closest atoms and distances in Å follow each position.
Element x y z (fractional)
Fe: 0.7500 0.7500 0.7500  4 Hg 2.84, 4 Fe 2.84
Te: 0.2500 0.2500 0.2500  4 Fe 2.84, 4 Hg 2.84
Fe: 0.0000 0.0000 0.0000  4 Fe 2.84, 4 Te 2.84
Hg: 0.5000 0.5000 0.5000  4 Te 2.84, 4 Fe 2.84

Computed properties:
**Symmetry**: No. 216
**Density of states at the Fermi level**: 1.1161 states/eV per atom
**Density**: 10.40 g/cm³

---

iii:
Crystalline Fe2HgTe at its relaxed geometry, computed with PBEsol.

Cell: 3.2085 4.4684 4.4684 Å, 89.99 90.01 90.01°
Closest atoms and distances in Å follow each position.
Element x y z (fractional)
Fe: 0.0000 0.5000 0.0000  4 Te 2.75, 4 Hg 2.75
Hg: 0.5000 0.0000 0.0000  8 Fe 2.75
Fe: 0.0000 0.0000 0.5000  4 Hg 2.75, 4 Te 2.75
Te: 0.5000 0.5000 0.5000  8 Fe 2.75

Computed properties:
**Symmetry**: No. 123
**Density of states at the Fermi level**: 1.1292 states/eV per atom
**Density**: 11.40 g/cm³

---

Order from most stable to least stable according to the calculation: iii, i, ii

---

i:
Crystalline Tl2FeHg at its relaxed geometry, computed with PBEsol.

Cell: 4.1966 4.1966 5.6755 Å, 111.70 111.70 90.00°
Closest atoms and distances in Å follow each position.
Element x y z (fractional)
Fe: 0.5000 0.5000 0.0000  8 Tl 2.97-3.20, 4 Hg 3.20
Hg: 0.2500 0.7500 0.5000  8 Tl 2.97-3.20, 4 Fe 3.20
Tl: 0.7500 0.2500 0.5000  4 Hg 2.97, 4 Tl 3.20, 4 Fe 3.20
Tl: 0.0000 0.0000 0.0000  4 Fe 2.97, 4 Hg 3.20, 4 Tl 3.20

Computed properties:
**Symmetry**: No. 119
**Density of states at the Fermi level**: 0.8247 states/eV per atom
**Density**: 12.96 g/cm³

---

ii:
Crystalline Tl2FeHg at its relaxed geometry, computed with PBEsol.

Cell: 3.1571 5.1509 5.4002 Å, 90.00 90.00 90.00°
Closest atoms and distances in Å follow each position.
Element x y z (fractional)
Tl: 0.0000 0.0000 0.0000  4 Fe 3.02, 6 Tl 3.13-3.16
Tl: 0.5000 0.0000 0.5000  4 Hg 3.02, 6 Tl 3.13-3.16
Fe: 0.5000 0.5000 0.0000  4 Tl 3.02, 4 Hg 3.13, 2 Fe 3.16
Hg: 0.0000 0.5000 0.5000  4 Tl 3.02, 4 Fe 3.13, 2 Hg 3.16

Computed properties:
**Symmetry**: No. 47
**Density of states at the Fermi level**: 0.8341 states/eV per atom
**Density**: 12.58 g/cm³

---

iii:
Crystalline Tl2FeHg at its relaxed geometry, computed with PBEsol.

Cell: 3.1137 5.2938 5.2938 Å, 90.00 90.00 90.00°
Closest atoms and distances in Å follow each position.
Element x y z (fractional)
Tl: 0.0000 0.0000 0.5000  4 Hg 3.07, 4 Fe 3.07, 2 Tl 3.11
Fe: 0.5000 0.5000 0.5000  8 Tl 3.07, 2 Fe 3.11
Hg: 0.5000 0.0000 0.0000  8 Tl 3.07, 2 Hg 3.11
Tl: 0.0000 0.5000 0.0000  4 Hg 3.07, 4 Fe 3.07, 2 Tl 3.11

Computed properties:
**Symmetry**: No. 123
**Density of states at the Fermi level**: 0.7748 states/eV per atom
**Density**: 12.66 g/cm³

---

Order from most stable to least stable according to the calculation: iii, i, ii

---

i:
Crystalline ZrFeHg2 at its relaxed geometry, computed with PBEsol.

Cell: 2.9700 5.1330 5.1330 Å, 108.63 90.00 90.00°
Closest atoms and distances in Å follow each position.
Element x y z (fractional)
Hg: 0.0000 0.0000 0.5000  4 Fe 2.97, 4 Zr 2.97, 4 Hg 2.97-2.99
Hg: 0.0000 0.5000 0.0000  4 Zr 2.97, 4 Fe 2.97, 4 Hg 2.97-2.99
Fe: 0.5000 0.5000 0.5000  8 Hg 2.97, 2 Fe 2.97, 2 Zr 2.99
Zr: 0.5000 0.0000 0.0000  8 Hg 2.97, 2 Zr 2.97, 2 Fe 2.99

Computed properties:
**Symmetry**: No. 65
**Density of states at the Fermi level**: 0.9078 states/eV per atom
**Density**: 12.28 g/cm³

---

ii:
Crystalline ZrFeHg2 at its relaxed geometry, computed with PBEsol.

Cell: 4.1337 4.1337 4.3067 Å, 90.00 90.00 90.00°
Closest atoms and distances in Å follow each position.
Element x y z (fractional)
Hg: 0.5000 0.0000 0.0000  4 Hg 2.92, 4 Zr 2.98, 4 Fe 2.98
Hg: 0.0000 0.5000 0.0000  4 Hg 2.92, 4 Zr 2.98, 4 Fe 2.98
Zr: 0.5000 0.5000 0.5000  4 Fe 2.92, 8 Hg 2.98
Fe: 0.0000 0.0000 0.5000  4 Zr 2.92, 8 Hg 2.98

Computed properties:
**Symmetry**: No. 123
**Density of states at the Fermi level**: 1.1292 states/eV per atom
**Density**: 12.37 g/cm³

---

iii:
Crystalline ZrFeHg2 at its relaxed geometry, computed with PBEsol.

Cell: 4.2146 4.3008 4.9962 Å, 115.49 114.95 90.00°
Closest atoms and distances in Å follow each position.
Element x y z (fractional)
Zr: 0.5000 0.0000 0.0000  8 Hg 2.91-2.92, 4 Fe 3.01
Hg: 0.7481 0.7481 0.4963  4 Fe 2.89-2.94, 4 Zr 2.91-2.92, 4 Hg 3.01
Fe: 0.0000 0.5000 0.0000  8 Hg 2.89-2.94, 4 Zr 3.01
Hg: 0.2519 0.2519 0.5037  4 Fe 2.89-2.94, 4 Zr 2.91-2.92, 4 Hg 3.01

Computed properties:
**Symmetry**: No. 71
**Density of states at the Fermi level**: 0.7990 states/eV per atom
**Density**: 12.60 g/cm³

---

Order from most stable to least stable according to the calculation: iii, ii, i

---

i:
Crystalline FeTeI2N at its relaxed geometry, computed with PBEsol.

Cell: 3.9362 6.0453 6.0453 Å, 90.00 90.00 90.00°
Closest atoms and distances in Å follow each position.
Element x y z (fractional)
I: 0.0000 0.5000 0.0000  2 Te 3.02
Te: 0.0000 0.0000 0.0000  2 N 1.97
Fe: 0.5000 0.5000 0.5000  8 I 3.61, 2 Fe 3.94
I: 0.0000 0.0000 0.5000  2 Te 3.02
N: 0.5000 0.0000 0.0000  2 Te 1.97

Computed properties:
**Symmetry**: No. 123
**Density of states at the Fermi level**: 1.1671 states/eV per atom
**Density**: 5.21 g/cm³

---

ii:
Crystalline FeTeI2N at its relaxed geometry, computed with PBEsol.

Cell: 5.0132 5.3332 5.3332 Å, 90.00 90.00 90.00°
Closest atoms and distances in Å follow each position.
Element x y z (fractional)
N: 0.5000 0.5000 0.5000  8 I 3.66, 4 Te 3.77
Fe: 0.0000 0.0000 0.0000  2 Te 2.51, 4 I 2.67
Te: 0.5000 0.0000 0.0000  2 Fe 2.51
I: 0.0000 0.5000 0.0000  2 Fe 2.67
I: 0.0000 0.0000 0.5000  2 Fe 2.67

Computed properties:
**Symmetry**: No. 123
**Density of states at the Fermi level**: 1.3716 states/eV per atom
**Density**: 5.26 g/cm³

---

Order from most stable to least stable according to the calculation: i, ii

---

i:
Crystalline TaFeIO2 at its relaxed geometry, computed with PBEsol.

Cell: 3.8680 3.8680 6.0227 Å, 90.00 90.00 90.00°
Closest atoms and distances in Å follow each position.
Element x y z (fractional)
O: 0.0000 0.5000 0.0000  2 Ta 1.93
Ta: 0.0000 0.0000 0.0000  4 O 1.93
I: 0.0000 0.0000 0.5000  4 Fe 2.74, 2 Ta 3.01
O: 0.5000 0.0000 0.0000  2 Ta 1.93
Fe: 0.5000 0.5000 0.5000  4 I 2.74

Computed properties:
**Symmetry**: No. 123
**Density of states at the Fermi level**: 1.2810 states/eV per atom
**Density**: 7.29 g/cm³

---

ii:
Crystalline TaFeIO2 at its relaxed geometry, computed with PBEsol.

Cell: 3.8219 3.8219 5.0998 Å, 90.00 90.00 90.00°
Closest atoms and distances in Å follow each position.
Element x y z (fractional)
I: 0.0000 0.0000 0.5000  2 Fe 2.55, 4 Ta 2.70
O: 0.5000 0.0000 0.0000  2 Fe 1.91
Fe: 0.0000 0.0000 0.0000  4 O 1.91
Ta: 0.5000 0.5000 0.5000  4 I 2.70
O: 0.0000 0.5000 0.0000  2 Fe 1.91

Computed properties:
**Symmetry**: No. 123
**Density of states at the Fermi level**: 1.1268 states/eV per atom
**Density**: 8.82 g/cm³

---

Order from most stable to least stable according to the calculation: i, ii

---

i:
Crystalline KIn2Fe at its relaxed geometry, computed with PBEsol.

Cell: 5.0809 5.0809 5.0809 Å, 60.00 60.00 60.00°
Closest atoms and distances in Å follow each position.
Element x y z (fractional)
In: 0.7500 0.7500 0.7500  4 In 3.11, 4 Fe 3.11
K: 0.2500 0.2500 0.2500  4 Fe 3.11, 4 In 3.11
Fe: 0.5000 0.5000 0.5000  4 In 3.11, 4 K 3.11
In: 0.0000 0.0000 0.0000  4 K 3.11, 4 In 3.11

Computed properties:
**Symmetry**: No. 216
**Density of states at the Fermi level**: 1.9469 states/eV per atom
**Density**: 5.81 g/cm³

---

ii:
Crystalline KIn2Fe at its relaxed geometry, computed with PBEsol.

Cell: 3.0290 3.4848 8.6336 Å, 90.00 90.00 90.00°
Closest atoms and distances in Å follow each position.
Element x y z (fractional)
Fe: 0.5000 0.5000 0.5000  8 In 2.78, 2 Fe 3.03
K: 0.5000 0.5000 0.0000  2 K 3.03
In: 0.0000 0.0000 0.6799  4 Fe 2.78, 3 In 3.03-3.11
In: 0.0000 0.0000 0.3201  4 Fe 2.78, 3 In 3.03-3.11

Computed properties:
**Symmetry**: No. 47
**Density of states at the Fermi level**: 1.0880 states/eV per atom
**Density**: 5.91 g/cm³

---

Order from most stable to least stable according to the calculation: ii, i